Entry 1:
Below is a crystal of CaSc2P relaxed with PBEsol, with properties calculated at the SCAN level.

Unit cell a=6.149 b=10.024 c=3.182 alpha=90.00 beta=119.29 gamma=90.00
Space group C2/m (No. 12)
Symmetry-distinct sites (fractional):
Ca 0.000 0.000 0.000 (multiplicity 2)
Sc 0.250 0.250 0.500 (multiplicity 4)
P 0.000 0.500 0.000 (multiplicity 2)

M_tot, μB per cell: 0.00
E_tot, eV/atom: -12.279



Entry 2:
Below is a crystal of Zn3BrCl relaxed with PBEsol, with properties calculated at the SCAN level.

Unit cell a=5.262 b=5.262 c=5.262 alpha=90.00 beta=90.00 gamma=90.00
Space group Pm-3m (No. 221)
Symmetry-distinct sites (fractional):
Zn 0.000 0.000 0.500 (multiplicity 3)
Br 0.000 0.000 0.000 (multiplicity 1)
Cl 0.500 0.500 0.500 (multiplicity 1)

M_tot, μB per cell: 0.00
E_tot, eV/atom: -13.116



Entry 3:
Below is a crystal of YPtC2 relaxed with PBEsol, with properties calculated at the SCAN level.

Unit cell a=4.765 b=4.765 c=10.776 alpha=90.00 beta=90.00 gamma=90.00
Space group I-42d (No. 122)
Symmetry-distinct sites (fractional):
Y 0.000 0.000 0.000 (multiplicity 4)
Pt 0.000 0.000 0.500 (multiplicity 4)
C 0.178 0.250 0.625 (multiplicity 8)

M_tot, μB per cell: 0.00
E_tot, eV/atom: -29.158



Entry 4:
Below is a crystal of MgMo2As relaxed with PBEsol, with properties calculated at the SCAN level.

Unit cell a=3.356 b=4.300 c=4.302 alpha=90.00 beta=90.00 gamma=90.00
Space group Pmmm (No. 47)
Symmetry-distinct sites (fractional):
Mg 0.000 0.000 0.000 (multiplicity 1)
Mo 0.000 0.500 0.500 (multiplicity 1)
Mo 0.500 0.000 0.500 (multiplicity 1)
As 0.500 0.500 0.000 (multiplicity 1)

M_tot, μB per cell: 0.00
Energy relative to the lowest polymorph listed for this composition, meV per atom: 76



Entry 5:
Below is a crystal of ReNi2As relaxed with PBEsol, with properties calculated at the SCAN level.

Unit cell a=2.674 b=4.056 c=4.600 alpha=90.00 beta=90.00 gamma=90.00
Space group Pmm2 (No. 25)
Symmetry-distinct sites (fractional):
Re 0.000 0.000 0.000 (multiplicity 1)
Ni 0.500 0.000 0.491 (multiplicity 1)
Ni 0.500 0.500 0.198 (multiplicity 1)
As 0.000 0.500 0.653 (multiplicity 1)

M_tot, μB per cell: 0.00
E_tot, eV/atom: -30.793



Entry 6:
Below is a crystal of InBiPt3 relaxed with PBEsol, with properties calculated at the SCAN level.

Unit cell a=5.033 b=5.033 c=5.033 alpha=90.00 beta=90.00 gamma=90.00
Space group Pm-3m (No. 221)
Symmetry-distinct sites (fractional):
In 0.000 0.000 0.000 (multiplicity 1)
Bi 0.500 0.500 0.500 (multiplicity 1)
Pt 0.000 0.500 0.500 (multiplicity 3)

M_tot, μB per cell: 0.00
E_tot, eV/atom: -63.494



Entry 7:
Below is a crystal of LiAgHg relaxed with PBEsol, with properties calculated at the SCAN level.

Unit cell a=4.5445 b=4.5445 c=2.8772 alpha=90.00 beta=90.00 gamma=120.00
Space group P3m1 (No. 156)
Symmetry-distinct sites (fractional):
Li 0.0000 0.0000 0.0000 (multiplicity 1)
Ag 0.6667 0.3333 0.2807 (multiplicity 1)
Hg 0.3333 0.6667 0.6909 (multiplicity 1)

M_tot, μB per cell: 0.00
Energy relative to the lowest polymorph listed for this composition, meV per atom: 28



Entry 8:
Below is a crystal of TlAs2CBr relaxed with PBEsol, with properties calculated at the SCAN level.

Unit cell a=4.207 b=4.207 c=7.115 alpha=90.00 beta=90.00 gamma=90.00
Space group P4/mmm (No. 123)
Symmetry-distinct sites (fractional):
Tl 0.000 0.000 0.000 (multiplicity 1)
As 0.000 0.500 0.500 (multiplicity 2)
C 0.500 0.500 0.500 (multiplicity 1)
Br 0.500 0.500 0.000 (multiplicity 1)

M_tot, μB per cell: 0.00
E_tot, eV/atom: -27.587



Entry 9:
Below is a crystal of ReSiAg relaxed with PBEsol, with properties calculated at the SCAN level.

Unit cell a=5.939 b=5.939 c=5.939 alpha=90.00 beta=90.00 gamma=90.00
Space group F-43m (No. 216)
Symmetry-distinct sites (fractional):
Re 0.000 0.000 0.000 (multiplicity 4)
Si 0.250 0.250 0.250 (multiplicity 4)
Ag 0.250 0.250 0.750 (multiplicity 4)

M_tot, μB per cell: 5.09
E_tot, eV/atom: -36.675



Entry 10:
Below is a crystal of Ti2VTe4 relaxed with PBEsol, with properties calculated at the SCAN level.

Unit cell a=14.140 b=3.717 c=6.784 alpha=90.00 beta=117.36 gamma=90.00
Space group C2/m (No. 12)
Symmetry-distinct sites (fractional):
Ti 0.248 0.000 0.203 (multiplicity 4)
V 0.000 0.500 0.500 (multiplicity 2)
Te 0.104 0.500 0.944 (multiplicity 4)
Te 0.133 0.000 0.463 (multiplicity 4)

M_tot, μB per cell: 2.06
Energy relative to the lowest polymorph listed for this composition, meV per atom: 0



Entry 11:
Below is a crystal of ZrAl2Cu relaxed with PBEsol, with properties calculated at the SCAN level.

Unit cell a=5.731 b=8.381 c=2.778 alpha=90.00 beta=90.00 gamma=90.00
Space group Cmmm (No. 65)
Symmetry-distinct sites (fractional):
Zr 0.000 0.000 0.000 (multiplicity 2)
Al 0.250 0.250 0.500 (multiplicity 4)
Cu 0.000 0.500 0.000 (multiplicity 2)

M_tot, μB per cell: 0.00
E_tot, eV/atom: -15.530



Entry 12:
Below is a crystal of Hf2Bi2Se relaxed with PBEsol, with properties calculated at the SCAN level.

Unit cell a=4.324 b=4.324 c=14.052 alpha=90.00 beta=90.00 gamma=90.00
Space group I4/mmm (No. 139)
Symmetry-distinct sites (fractional):
Hf 0.000 0.000 0.100 (multiplicity 4)
Bi 0.000 0.500 0.250 (multiplicity 4)
Se 0.000 0.000 0.500 (multiplicity 2)

M_tot, μB per cell: 0.00
E_tot, eV/atom: -60.286



Entry 13:
Below is a crystal of YScMnIr2 relaxed with PBEsol, with properties calculated at the SCAN level.

Unit cell a=4.859 b=4.859 c=4.838 alpha=90.00 beta=90.00 gamma=90.00
Space group P4/mmm (No. 123)
Symmetry-distinct sites (fractional):
Y 0.000 0.000 0.000 (multiplicity 1)
Sc 0.000 0.000 0.500 (multiplicity 1)
Mn 0.500 0.500 0.500 (multiplicity 1)
Ir 0.000 0.500 0.000 (multiplicity 2)

M_tot, μB per cell: 4.33
E_tot, eV/atom: -39.088



Entry 14:
Below is a crystal of Al2GaAu2 relaxed with PBEsol, with properties calculated at the SCAN level.

Unit cell a=3.946 b=3.946 c=11.821 alpha=90.00 beta=90.00 gamma=90.00
Space group I4/mmm (No. 139)
Symmetry-distinct sites (fractional):
Al 0.000 0.500 0.250 (multiplicity 4)
Ga 0.000 0.000 0.000 (multiplicity 2)
Au 0.000 0.000 0.386 (multiplicity 4)

M_tot, μB per cell: 0.00
E_tot, eV/atom: -34.324



Entry 15:
Below is a crystal of SrCuB2 relaxed with PBEsol, with properties calculated at the SCAN level.

Unit cell a=4.139 b=4.139 c=13.953 alpha=90.00 beta=90.00 gamma=90.00
Space group I4_1/amd (No. 141, origin choice 2)
Symmetry-distinct sites (fractional):
Sr 0.000 0.250 0.375 (multiplicity 4)
Cu 0.000 0.250 0.875 (multiplicity 4)
B 0.000 0.000 0.000 (multiplicity 8)

M_tot, μB per cell: 0.00
E_tot, eV/atom: -12.683



Entry 16:
Below is a crystal of Li2BPd2 relaxed with PBEsol, with properties calculated at the SCAN level.

Unit cell a=5.535 b=5.535 c=4.327 alpha=90.00 beta=90.00 gamma=90.00
Space group P4/mbm (No. 127)
Symmetry-distinct sites (fractional):
Li 0.165 0.335 0.000 (multiplicity 4)
B 0.000 0.000 0.500 (multiplicity 2)
Pd 0.166 0.666 0.500 (multiplicity 4)

M_tot, μB per cell: 0.00
E_tot, eV/atom: -15.996



Entry 17:
Below is a crystal of TlInI2 relaxed with PBEsol, with properties calculated at the SCAN level.

Unit cell a=8.208 b=8.208 c=8.208 alpha=90.00 beta=90.00 gamma=90.00
Space group Fm-3m (No. 225)
Symmetry-distinct sites (fractional):
Tl 0.000 0.000 0.000 (multiplicity 4)
In 0.000 0.000 0.500 (multiplicity 4)
I 0.250 0.250 0.250 (multiplicity 8)

M_tot, μB per cell: 0.00
E_tot, eV/atom: -45.315



Entry 18:
Below is a crystal of HRuBr2O relaxed with PBEsol, with properties calculated at the SCAN level.

Unit cell a=4.840 b=4.840 c=2.802 alpha=90.00 beta=90.00 gamma=90.00
Space group P4/mmm (No. 123)
Symmetry-distinct sites (fractional):
H 0.000 0.000 0.000 (multiplicity 1)
Ru 0.500 0.500 0.000 (multiplicity 1)
Br 0.000 0.500 0.500 (multiplicity 2)
O 0.000 0.000 0.500 (multiplicity 1)

M_tot, μB per cell: 0.01
E_tot, eV/atom: -15.861



Entry 19:
Below is a crystal of CdTe3 relaxed with PBEsol, with properties calculated at the SCAN level.

Unit cell a=8.0945 b=8.0945 c=4.0453 alpha=90.00 beta=90.00 gamma=120.00
Space group P6_3/mmc (No. 194)
Symmetry-distinct sites (fractional):
Cd 0.3333 0.6667 0.2500 (multiplicity 2)
Te 0.1714 0.3427 0.7500 (multiplicity 6)

M_tot, μB per cell: 0.00
E_tot, eV/atom: -35.488



Entry 20:
Below is a crystal of Y2CrCl relaxed with PBEsol, with properties calculated at the SCAN level.

Unit cell a=3.300 b=3.300 c=7.962 alpha=90.00 beta=90.00 gamma=90.00
Space group P4/mmm (No. 123)
Symmetry-distinct sites (fractional):
Y 0.000 0.000 0.223 (multiplicity 2)
Cr 0.500 0.500 0.000 (multiplicity 1)
Cl 0.500 0.500 0.500 (multiplicity 1)

M_tot, μB per cell: 2.47
Energy relative to the lowest polymorph listed for this composition, meV per atom: 0